First-principles (PBE) data for crystalline RbTl4Hg4 at its relaxed geometry, as listed in Alexandria via LeMat-Bulk.

```
RbTl4Hg4
1.0
-5.155 5.155 2.758
5.155 -5.155 2.758
5.155 5.155 -2.758
Rb Tl Hg
1 4 4
direct
0.000 0.000 0.000
0.090 0.636 0.726
0.364 0.090 0.454
0.636 0.910 0.546
0.910 0.364 0.274
0.297 0.388 0.686
0.388 0.703 0.091
0.612 0.297 0.909
0.703 0.612 0.314
```

DFT total energy   -12.2 eV per cell
N(E_F)   0.52 states/eV/atom
SG   No. 87

First-principles (PBE) data for crystalline Cu6Pd3Rh at its relaxed geometry, as listed in Alexandria via LeMat-Bulk.

```
Cu6Pd3Rh
1.0
10.412 0.000 0.000
0.000 2.662 0.000
-4.414 0.000 9.932
Cu Pd Rh
12 6 2
direct
0.005 0.250 0.109
0.103 0.250 0.558
0.148 0.250 0.797
0.305 0.750 0.683
0.320 0.750 0.295
0.480 0.750 0.190
0.520 0.250 0.810
0.680 0.250 0.705
0.695 0.250 0.317
0.852 0.750 0.203
0.897 0.750 0.442
0.995 0.750 0.891
0.113 0.750 0.357
0.374 0.750 0.934
0.393 0.250 0.527
0.607 0.750 0.473
0.626 0.250 0.066
0.887 0.250 0.643
0.232 0.250 0.066
0.768 0.750 0.934
```

DFT total energy   -93.5 eV per cell
N(E_F)   0.63 states/eV/atom
SG   No. 11

First-principles (PBE) data for crystalline KBeCl at its relaxed geometry, as listed in Alexandria via LeMat-Bulk.

```
KBeCl
1.0
3.969 0.000 0.000
-1.985 3.437 0.000
0.000 0.000 6.214
K Be Cl
1 1 1
direct
0.000 0.000 0.000
0.667 0.333 0.405
0.333 0.667 0.651
```

DFT total energy   -6.9 eV per cell
SG   No. 156
Formation energy without anion corrections   -0.19 eV per formula unit

First-principles (PBE) data for crystalline Tm4CuAg at its relaxed geometry, as listed in Alexandria via LeMat-Bulk.

```
Tm4CuAg
1.0
4.846 0.000 0.000
0.000 4.846 0.000
0.000 0.000 6.933
Tm Cu Ag
4 1 1
direct
0.000 0.500 0.238
0.000 0.500 0.762
0.500 0.000 0.238
0.500 0.000 0.762
0.000 0.000 0.000
0.500 0.500 0.500
```

DFT total energy   -24.7 eV per cell
N(E_F)   1.09 states/eV/atom
SG   No. 123

Q: Among the records above, which one has the lowest DFT total energy?
A: Cu6Pd3Rh

Q: Which of these has the highest DFT total energy?
A: KBeCl

Q: Which of these has the highest DFT total energy?
A: KBeCl

Q: The lowest DFT total energy belongs to which entry?
A: Cu6Pd3Rh